Computed, not measured: a relaxed Ac2MgMnO6 crystal at the GGA+U level of DFT.

## Properties
**Raw total energy**: -7.45 eV/atom
**Space group**: Fm-3m, No. 225

a = 5.605 Å, b = 5.606 Å, c = 7.933 Å
α = 90.00°, β = 90.00°, γ = 90.00°
Each line ends with the local moment (μB).
Positions (direct):
Ac: 0.500 0.750 0.250  0.01
Ac: 0.000 0.250 0.750  0.01
Ac: 0.500 0.750 0.750  0.01
Ac: 0.000 0.250 0.250  0.01
Mg: 0.000 0.750 0.500  -0.01
Mg: 0.500 0.250 0.000  -0.01
Mn: 0.500 0.250 0.500  3.04
Mn: 0.000 0.750 0.000  3.04
O: 0.500 0.250 0.258  -0.02
O: 0.500 0.250 0.742  -0.02
O: 0.000 0.750 0.242  -0.02
O: 0.000 0.750 0.758  -0.02
O: 0.258 0.008 0.500  -0.02
O: 0.742 0.008 0.500  -0.02
O: 0.258 0.492 0.500  -0.02
O: 0.742 0.492 0.500  -0.02
O: 0.758 0.508 0.000  -0.02
O: 0.242 0.508 0.000  -0.02
O: 0.242 0.992 0.000  -0.02
O: 0.758 0.992 0.000  -0.02